# Rb3Np2NiO9

A relaxed Rb3Np2NiO9 crystal (PBE with a Hubbard U, Alexandria).

Calculated values
As for the density: 6820 kg/m³. As for the total energy: -7.27 eV/atom.

abc: 5.978 5.978 7.340
angles: 90.00 90.00 120.00
Element x y z (fractional)
Rb1 0.000 0.000 0.000
Rb2 0.333 0.667 0.659
Rb3 0.667 0.333 0.341
Np1 0.333 0.667 0.175
Np2 0.667 0.333 0.825
Ni1 0.000 0.000 0.500
O1 0.000 0.500 0.000
O2 0.173 0.346 0.326
O3 0.173 0.827 0.326
O4 0.346 0.173 0.674
O5 0.500 0.000 0.000
O6 0.500 0.500 0.000
O7 0.654 0.827 0.326
O8 0.827 0.173 0.674
O9 0.827 0.654 0.674